LiV2F6: single point on PBEsol structure, meta-GGA SCAN.

Output
Density of states at the Fermi level in states/eV/f.u.: 3.2
Uncorrected formation energy in eV per atom: -3.206
Space group: No. 136

a b c (Å): 4.634 4.634 9.250
angles (deg): 90.00 90.00 90.00
Positions (direct):
Li: 0.000 0.000 0.000
Li: 0.500 0.500 0.500
V: 0.000 0.000 0.332
V: 0.000 0.000 0.668
V: 0.500 0.500 0.168
V: 0.500 0.500 0.832
F: 0.194 0.194 0.500
F: 0.199 0.199 0.169
F: 0.199 0.199 0.831
F: 0.301 0.699 0.331
F: 0.301 0.699 0.669
F: 0.306 0.694 0.000
F: 0.694 0.306 0.000
F: 0.699 0.301 0.331
F: 0.699 0.301 0.669
F: 0.801 0.801 0.169
F: 0.801 0.801 0.831
F: 0.806 0.806 0.500

***

LiVF5: single point on PBEsol structure, meta-GGA SCAN.

Output
Energy relative to the lowest polymorph listed for this composition in meV per atom: 26
Uncorrected formation energy in eV per atom: -3.068
Space group: No. 14

a b c (Å): 5.917 8.509 8.893
angles (deg): 90.00 129.01 90.00
Positions (direct):
Li: 0.115 0.054 0.323
Li: 0.115 0.446 0.823
Li: 0.885 0.554 0.177
Li: 0.885 0.946 0.677
V: 0.412 0.134 0.075
V: 0.412 0.366 0.575
V: 0.588 0.634 0.425
V: 0.588 0.866 0.925
F: 0.074 0.132 0.827
F: 0.074 0.368 0.327
F: 0.226 0.611 0.198
F: 0.226 0.889 0.698
F: 0.241 0.128 0.183
F: 0.241 0.372 0.683
F: 0.400 0.595 0.541
F: 0.400 0.905 0.041
F: 0.427 0.154 0.560
F: 0.427 0.346 0.060
F: 0.573 0.654 0.940
F: 0.573 0.846 0.440
F: 0.600 0.095 0.959
F: 0.600 0.405 0.459
F: 0.759 0.628 0.317
F: 0.759 0.872 0.817
F: 0.774 0.111 0.302
F: 0.774 0.389 0.802
F: 0.926 0.632 0.673
F: 0.926 0.868 0.173